Record 1
The following is a DFT calculation (PBE) of crystalline Ru2Pt3 at its relaxed geometry.

Cell: 8.215 7.204 5.227 Å, 81.05 60.02 38.94°
Fractional coordinates of all 10 atoms:
Pt 0.077 0.923 0.923
Pt 0.720 0.479 0.342
Pt 0.459 0.342 0.479
Pt 0.327 0.173 0.173
Pt 0.771 0.530 0.791
Pt 0.908 0.791 0.530
Ru 0.560 0.353 0.904
Ru 0.184 0.904 0.353
Ru 0.897 0.690 0.066
Ru 0.346 0.066 0.690

calculated formation energy	170.4	meV per atom
total magnetic moment	0.00	μB/cell


Record 2
The following is a DFT calculation (PBE) of crystalline ThMgHg at its relaxed geometry.

Cell: 4.449 4.449 7.892 Å, 90.00 90.00 90.00°
Fractional coordinates of all 6 atoms:
Hg 0.000 0.000 0.236
Hg 0.500 0.500 0.764
Th 0.500 0.500 0.364
Th 0.000 0.000 0.636
Mg 0.500 0.000 0.000
Mg 0.000 0.500 0.000

calculated formation energy	-186.5	meV per atom
total magnetic moment	0.00	μB/cell


Record 3
The following is a DFT calculation (PBE) of crystalline MgTaTc2 at its relaxed geometry.

Cell: 4.343 2.746 5.456 Å, 81.63 90.00 90.00°
Fractional coordinates of all 4 atoms:
Mg 0.500 0.250 0.250
Tc 0.000 0.537 0.494
Tc 0.000 0.963 0.006
Ta 0.500 0.750 0.750

calculated formation energy	62.8	meV per atom
total magnetic moment	0.00	μB/cell


Record 4
The following is a DFT calculation (PBE) of crystalline Y3Si23 at its relaxed geometry.

Cell: 10.115 10.115 10.115 Å, 90.00 90.00 90.00°
Fractional coordinates of all 52 atoms:
Si 0.383 0.810 0.500
Si 0.690 0.883 0.000
Si 0.883 0.000 0.310
Si 0.684 0.316 0.316
Si 0.310 0.883 0.000
Si 0.617 0.190 0.500
Si 0.310 0.117 0.000
Si 0.500 0.250 0.000
Si 0.750 0.000 0.500
Si 0.816 0.184 0.816
Si 0.000 0.690 0.117
Si 0.810 0.500 0.383
Si 0.810 0.500 0.617
Si 0.883 0.000 0.690
Si 0.500 0.617 0.190
Si 0.500 0.750 0.000
Si 0.316 0.684 0.316
Si 0.184 0.184 0.816
Si 0.000 0.500 0.250
Si 0.190 0.500 0.383
Si 0.184 0.816 0.184
Si 0.190 0.500 0.617
Si 0.117 0.000 0.310
Si 0.316 0.316 0.316
Si 0.816 0.184 0.184
Si 0.383 0.190 0.500
Si 0.500 0.383 0.810
Si 0.000 0.310 0.883
Si 0.816 0.816 0.184
Si 0.184 0.184 0.184
Si 0.117 0.000 0.690
Si 0.617 0.810 0.500
Si 0.000 0.690 0.883
Si 0.684 0.684 0.316
Si 0.500 0.617 0.810
Si 0.500 0.383 0.190
Si 0.000 0.500 0.750
Si 0.250 0.000 0.500
Si 0.690 0.117 0.000
Si 0.000 0.310 0.117
Si 0.684 0.684 0.684
Si 0.684 0.316 0.684
Si 0.316 0.316 0.684
Si 0.184 0.816 0.816
Si 0.816 0.816 0.816
Si 0.316 0.684 0.684
Y 0.750 0.500 0.000
Y 0.000 0.750 0.500
Y 0.000 0.250 0.500
Y 0.250 0.500 0.000
Y 0.500 0.000 0.750
Y 0.500 0.000 0.250

raw formation energy	1.542	eV per formula unit
total magnetic moment	0.00	μB/cell


Record 5
The following is a DFT calculation (PBE) of crystalline Rb3Pa3AuS8 at its relaxed geometry.

Cell: 8.589 7.921 8.715 Å, 113.12 90.00 122.83°
Last column: magnetic moment on the atom in μB.
Fractional coordinates of all 15 atoms:
S 0.325 0.062 0.290  -0.03
S 0.796 0.592 0.333  -0.02
S 0.675 0.938 0.710  -0.03
S 0.737 0.062 0.290  -0.03
S 0.263 0.938 0.710  -0.03
S 0.266 0.532 0.307  -0.03
S 0.734 0.468 0.693  -0.03
S 0.204 0.408 0.667  -0.02
Pa 0.500 0.500 0.500  0.91
Pa 0.500 0.000 0.500  0.94
Pa 0.000 0.500 0.500  0.91
Rb 0.500 0.500 0.000  0.00
Rb 0.000 0.000 0.000  0.00
Rb 0.000 0.500 0.000  0.00
Au 0.000 0.000 0.500  -0.01

raw formation energy	-19.807	eV per formula unit
total magnetic moment	3.01	μB/cell


Record 6
The following is a DFT calculation (PBE) of crystalline Cs4KU3O12 at its relaxed geometry.

Cell: 7.865 7.865 7.865 Å, 109.47 109.47 109.47°
Last column: magnetic moment on the atom in μB.
Fractional coordinates of all 20 atoms:
O 0.750 0.500 0.250  0.11
O 0.750 0.250 0.500  0.11
O 0.500 0.250 0.750  0.11
O 0.000 0.292 0.292  0.03
O 0.708 0.000 0.708  0.03
O 0.708 0.708 0.000  0.03
O 0.250 0.500 0.750  0.11
O 0.292 0.000 0.292  0.03
O 0.500 0.750 0.250  0.11
O 0.250 0.750 0.500  0.11
O 0.000 0.708 0.708  0.03
O 0.292 0.292 0.000  0.03
U 0.500 0.000 0.500  0.00
U 0.500 0.500 0.000  0.00
U 0.000 0.500 0.500  0.00
Cs 0.500 0.500 0.500  0.00
Cs 0.000 0.000 0.500  0.00
Cs 0.000 0.500 0.000  0.00
Cs 0.500 0.000 0.000  0.00
K 0.000 0.000 0.000  0.00

raw formation energy	-51.854	eV per formula unit
total magnetic moment	0.98	μB/cell


Record 7
The following is a DFT calculation (PBE) of crystalline ZrW3 at its relaxed geometry.

Cell: 5.699 5.699 5.083 Å, 90.00 90.00 120.00°
Fractional coordinates of all 8 atoms:
Zr 0.333 0.667 0.250
Zr 0.667 0.333 0.750
W 0.162 0.323 0.750
W 0.838 0.162 0.250
W 0.323 0.162 0.250
W 0.162 0.838 0.750
W 0.838 0.677 0.250
W 0.677 0.838 0.750

calculated formation energy	531.1	meV per atom
total magnetic moment	0.00	μB/cell


Record 8
The following is a DFT calculation (PBE) of crystalline LiMg2Ru at its relaxed geometry.

Cell: 3.417 3.417 5.773 Å, 90.00 90.00 90.00°
Fractional coordinates of all 4 atoms:
Ru 0.000 0.000 0.501
Mg 0.500 0.500 0.298
Mg 0.000 0.000 0.978
Li 0.500 0.500 0.723

calculated formation energy	165.6	meV per atom
total magnetic moment	0.00	μB/cell


- Look up the total magnetic moment of the second one.
  0.00 μB/cell


- Look up the total magnetic moment of the third one.
  0.00 μB/cell


Please write out number 1 again, unchanged.
The following is a DFT calculation (PBE) of crystalline Ru2Pt3 at its relaxed geometry.

Cell: 8.215 7.204 5.227 Å, 81.05 60.02 38.94°
Fractional coordinates of all 10 atoms:
Pt 0.077 0.923 0.923
Pt 0.720 0.479 0.342
Pt 0.459 0.342 0.479
Pt 0.327 0.173 0.173
Pt 0.771 0.530 0.791
Pt 0.908 0.791 0.530
Ru 0.560 0.353 0.904
Ru 0.184 0.904 0.353
Ru 0.897 0.690 0.066
Ru 0.346 0.066 0.690

calculated formation energy	170.4	meV per atom
total magnetic moment	0.00	μB/cell


- What is the formula in the fourth record?
  Y3Si23